Compound: AlFe2CoH
Source: the Alexandria database
Functional: PBE
Structure: relaxed

Cell: 3.531 3.531 3.965 Å, 90.00 90.00 90.00°
Site moments in Bohr magnetons follow the coordinates.
Atoms (fractional coordinates):
H 0.000 0.000 0.000  -0.02
Co 0.500 0.500 0.500  1.04
Fe 0.000 0.500 0.000  2.19
Fe 0.500 0.000 0.000  2.19
Al 0.000 0.000 0.500  -0.06

Values from the calculation:
**D(E_F)**: 0.72 states/eV per atom
**Relative energy among the computed polymorphs**: 124 meV per atom
**Calculated volume**: 49 Å³/cell
**Space group**: P4/mmm


Compound: GdDy2Tm
Source: the Alexandria database
Functional: PBE
Structure: relaxed

Cell: 5.644 5.644 5.644 Å, 60.00 60.00 60.00°
Site moments in Bohr magnetons follow the coordinates.
Atoms (fractional coordinates):
Gd 0.000 0.000 0.000  7.36
Tm 0.500 0.500 0.500  0.28
Dy 0.250 0.250 0.250  0.31
Dy 0.750 0.750 0.750  0.31

Values from the calculation:
**D(E_F)**: 1.97 states/eV per atom
**Formation enthalpy at 0 K**: 0.124 eV per atom
**Relative energy among the computed polymorphs**: 103 meV per atom
**Calculated volume**: 127 Å³/cell
**Space group**: Fm-3m


Compound: TeRhSe2
Source: the Alexandria database
Functional: PBE
Structure: relaxed

Cell: 3.902 3.902 7.248 Å, 89.99 89.99 60.00°
Atoms (fractional coordinates):
Rh 0.208 0.208 0.235
Se 0.875 0.875 0.076
Se 0.875 0.875 0.750
Te 0.542 0.542 0.439

Values from the calculation:
**D(E_F)**: 0.44 states/eV per atom
**Calculated volume**: 96 Å³/cell
**Space group**: P3m1
**ΔE_f (raw)**: -58 kJ/mol of formula units